1.
This record from Alexandria via LeMat-Bulk describes a relaxed MnAlCr3 crystal. The functional is GGA-PBE.

Its symmetry is No. 63. The volume is 13.15 A^3/atom. The value obtained for the density of states at the Fermi level is 8.7 states/eV per cell. The energy above the most stable polymorph in this dataset is 0 meV/atom.

Cell lengths 2.8589, 5.6904, 8.2075 Å; angles 90.00, 100.00, 90.00 degrees
Atoms (fractional coordinates):
Cr1 0.4129 0.4976 0.8256
Cr2 0.5871 0.9976 0.1744
Cr3 0.4129 0.0024 0.8256
Cr4 0.0013 0.2500 0.0027
Cr5 0.9987 0.7500 0.9973
Cr6 0.5871 0.5024 0.1744
Al1 0.1895 0.2500 0.3789
Al2 0.8105 0.7500 0.6211
Mn1 0.1744 0.7500 0.3495
Mn2 0.8256 0.2500 0.6505

2.
This record from Alexandria via LeMat-Bulk describes a relaxed MnAl3Cr crystal. The functional is GGA-PBE.

Its symmetry is No. 221. The volume is 19.47 A^3/atom. The value obtained for the density of states at the Fermi level is 2.3 states/eV per cell. The energy above the most stable polymorph in this dataset is 0 meV/atom.

Cell lengths 4.6004, 4.6004, 4.6004 Å; angles 90.00, 90.00, 90.00 degrees
Atoms (fractional coordinates):
Al1 0.0000 0.0000 0.5000
Al2 0.5000 0.0000 0.0000
Al3 0.0000 0.5000 0.0000
Cr1 0.0000 0.0000 0.0000
Mn1 0.5000 0.5000 0.5000

3.
This record from Alexandria via LeMat-Bulk describes a relaxed MnAlCrMo crystal. The functional is GGA-PBE.

Its symmetry is No. 216. The volume is 13.24 A^3/atom. The value obtained for the density of states at the Fermi level is 2.8 states/eV per cell. Its energy is -33.8 eV per cell.

Cell lengths 4.2155, 4.2155, 4.2155 Å; angles 60.00, 60.00, 60.00 degrees
Atoms (fractional coordinates):
Al1 0.7500 0.7500 0.7500
Cr1 0.5000 0.5000 0.5000
Mo1 0.2500 0.2500 0.2500
Mn1 0.0000 0.0000 0.0000

4.
This record from Alexandria via LeMat-Bulk describes a relaxed Mn2AlCrN crystal. The functional is GGA-PBE.

Its symmetry is No. 123. The volume is 10.98 A^3/atom. The value obtained for the density of states at the Fermi level is 3.3 states/eV per cell. As for the uncorrected formation energy: -0.349 eV/atom.

Cell lengths 3.7795, 3.7795, 3.8448 Å; angles 90.00, 90.00, 90.00 degrees
Atoms (fractional coordinates):
Cr1 0.0000 0.0000 0.5000
Mn1 0.5000 0.0000 0.0000
Mn2 0.0000 0.5000 0.0000
Al1 0.5000 0.5000 0.5000
N1 0.0000 0.0000 0.0000

5.
This record from Alexandria via LeMat-Bulk describes a relaxed Mn5Nb2AlCr2 crystal. The functional is GGA-PBE.

Its symmetry is No. 127. The volume is 13.24 A^3/atom. The value obtained for the density of states at the Fermi level is 21.0 states/eV per cell. Its energy is -175.2 eV per cell.

Cell lengths 3.0219, 9.3605, 9.3605 Å; angles 90.00, 90.00, 90.00 degrees
Atoms (fractional coordinates):
Mn1 0.5000 0.0000 0.5000
Mn2 0.5000 0.4393 0.2933
Mn3 0.5000 0.2067 0.0607
Mn4 0.5000 0.2933 0.5607
Mn5 0.5000 0.7067 0.4393
Mn6 0.5000 0.9393 0.2067
Mn7 0.5000 0.5607 0.7067
Mn8 0.5000 0.0607 0.7933
Mn9 0.5000 0.7933 0.9393
Mn10 0.5000 0.5000 0.0000
Cr1 0.0000 0.6276 0.8724
Cr2 0.0000 0.3724 0.1276
Cr3 0.0000 0.8724 0.3724
Cr4 0.0000 0.1276 0.6276
Nb1 0.0000 0.8258 0.6742
Nb2 0.0000 0.6742 0.1742
Nb3 0.0000 0.3258 0.8258
Nb4 0.0000 0.1742 0.3258
Al1 0.0000 0.0000 0.0000
Al2 0.0000 0.5000 0.5000

6.
This record from Alexandria via LeMat-Bulk describes a relaxed Mn2AlCrNi crystal. The functional is GGA-PBE.

Its symmetry is No. 123. The volume is 15.56 A^3/atom. The value obtained for the density of states at the Fermi level is 10.4 states/eV per cell. Its energy is -29.1 eV per cell.

Cell lengths 4.2120, 4.3859, 4.2120 Å; angles 90.00, 90.00, 90.00 degrees
Atoms (fractional coordinates):
Cr1 0.0000 0.5000 0.0000
Al1 0.0000 0.0000 0.0000
Mn1 0.0000 0.0000 0.5000
Mn2 0.5000 0.0000 0.0000
Ni1 0.5000 0.5000 0.5000